# 1
Computed, not measured: Ca2Cu after structural relaxation at the PBEsol level of DFT.

- space group = Fd-3m
- N(E_F) (states/eV per atom) = 0.768
- formation energy from the elements (eV/atom) = 0.03
- calculated total energy (eV/atom) = -2.832

Lattice parameters (Å, degrees): 9.723 9.723 9.723 60.00 60.00 60.00
Atoms (fractional coordinates):
Ca 0.125 0.125 0.625
Ca 0.125 0.625 0.125
Ca 0.625 0.125 0.125
Ca 0.125 0.125 0.125
Ca 0.941 0.559 0.559
Ca 0.559 0.941 0.559
Ca 0.559 0.559 0.941
Ca 0.941 0.941 0.559
Ca 0.941 0.559 0.941
Ca 0.559 0.941 0.941
Ca 0.309 0.691 0.691
Ca 0.691 0.309 0.691
Ca 0.691 0.691 0.309
Ca 0.309 0.309 0.691
Ca 0.309 0.691 0.309
Ca 0.691 0.309 0.309
Cu 0.346 0.346 0.346
Cu 0.962 0.346 0.346
Cu 0.346 0.962 0.346
Cu 0.346 0.346 0.962
Cu 0.904 0.904 0.904
Cu 0.288 0.904 0.904
Cu 0.904 0.288 0.904
Cu 0.904 0.904 0.288



# 2
Computed, not measured: MnMoAsRh2 after structural relaxation at the PBEsol level of DFT.

- space group = P4/mmm
- N(E_F) (states/eV per atom) = 1.588
- formation energy from the elements (eV/atom) = 1.05
- calculated total energy (eV/atom) = -7.528

Lattice parameters (Å, degrees): 4.323 4.435 4.435 90.00 90.00 90.00
Last column: magnetic moment on the atom in μB.
Atoms (fractional coordinates):
Mo 0.500 0.500 0.500  1.94
Mn 0.500 0.000 0.000  2.78
Rh 0.000 0.000 0.500  0.10
Rh 0.000 0.500 0.000  0.10
As 0.000 0.000 0.000  -0.07



# 3
Computed, not measured: Ag2OsPt after structural relaxation at the PBEsol level of DFT.

- space group = P4/mmm
- N(E_F) (states/eV per atom) = 1.046
- formation energy from the elements (eV/atom) = 0.50
- polymorph energy (0 for the lowest one) (meV per atom) = 256.7
- calculated total energy (eV/atom) = -5.946

Lattice parameters (Å, degrees): 2.680 2.680 8.561 90.00 90.00 90.00
Atoms (fractional coordinates):
Os 0.500 0.500 0.000
Ag 0.000 0.000 0.750
Ag 0.000 0.000 0.250
Pt 0.500 0.500 0.500



# 4
Computed, not measured: BaMnCl after structural relaxation at the PBEsol level of DFT.

- space group = F-43m
- N(E_F) (states/eV per atom) = 1.295
- polymorph energy (0 for the lowest one) (meV per atom) = 377.2
- calculated total energy (eV/atom) = -4.402
- uncorrected formation energy (eV/atom) = 0.24

Lattice parameters (Å, degrees): 5.157 5.157 5.157 60.00 60.00 60.00
Last column: magnetic moment on the atom in μB.
Atoms (fractional coordinates):
Mn 0.250 0.250 0.250  3.94
Ba 0.000 0.000 0.000  -0.06
Cl 0.500 0.500 0.500  0.04



Q: What is the formula in the fourth record?
A: BaMnCl